VASP calculation (meta-GGA SCAN) on a crystal of RePBr2 relaxed with PBEsol.

Lattice parameters (Å, degrees): 9.082 9.082 4.516 90.00 90.00 90.00
Space group I-42d (No. 122)
Inequivalent atoms, fractional coordinates:
Re (0.000, 0.000, 0.000) x4
P (0.000, 0.000, 0.500) x4
Br (0.114, 0.750, 0.125) x8

Results
The value obtained for the total magnetic moment is 0.00 μB/atom. Its formation energy without anion corrections is 0.316 eV per atom.

=====

VASP calculation (meta-GGA SCAN) on a crystal of ScRe2NiBi relaxed with PBEsol.

Lattice parameters (Å, degrees): 4.518 4.518 4.610 90.00 90.00 90.00
Space group P4/mmm (No. 123)
Inequivalent atoms, fractional coordinates:
Sc (0.000, 0.000, 0.000) x1
Re (0.000, 0.500, 0.500) x2
Ni (0.000, 0.000, 0.500) x1
Bi (0.500, 0.500, 0.000) x1

Results
The value obtained for the total magnetic moment is 0.00 μB/atom. Its energy relative to the elements is 4.70 eV/f.u.

=====

VASP calculation (meta-GGA SCAN) on a crystal of BaTaW2 relaxed with PBEsol.

Lattice parameters (Å, degrees): 3.1102 3.1102 30.0458 90.00 90.00 120.00
Space group R3m (No. 160, hexagonal axes)
Inequivalent atoms, fractional coordinates:
Ba (0.0000, 0.0000, 0.0000) x3
Ta (0.0000, 0.0000, 0.2307) x3
W (0.0000, 0.0000, 0.4950) x3
W (0.0000, 0.0000, 0.7653) x3

Results
The value obtained for the total magnetic moment is 0.00 μB/atom. Its energy relative to the elements is 4.25 eV/f.u.

=====

VASP calculation (meta-GGA SCAN) on a crystal of Cr3P relaxed with PBEsol.

Lattice parameters (Å, degrees): 3.531 3.531 3.531 90.00 90.00 90.00
Space group Pm-3m (No. 221)
Inequivalent atoms, fractional coordinates:
Cr (0.000, 0.000, 0.500) x3
P (0.500, 0.500, 0.500) x1

Results
The value obtained for the total magnetic moment is 0.54 μB/atom. Its energy relative to the elements is -0.06 eV/f.u.

=====

VASP calculation (meta-GGA SCAN) on a crystal of SrSbMo relaxed with PBEsol.

Lattice parameters (Å, degrees): 3.6257 3.6257 6.7247 90.00 90.00 120.00
Space group P3m1 (No. 156)
Inequivalent atoms, fractional coordinates:
Sr (0.0000, 0.0000, 0.0000) x1
Sb (0.3333, 0.6667, 0.3876) x1
Mo (0.6667, 0.3333, 0.6329) x1

Results
The value obtained for the total magnetic moment is 0.38 μB/atom. Its formation energy without anion corrections is 0.416 eV per atom.

=====

VASP calculation (meta-GGA SCAN) on a crystal of TaZnCo2Cu relaxed with PBEsol.

Lattice parameters (Å, degrees): 4.225 4.225 4.140 90.00 90.00 90.00
Space group P4/mmm (No. 123)
Inequivalent atoms, fractional coordinates:
Ta (0.000, 0.000, 0.000) x1
Zn (0.500, 0.500, 0.000) x1
Co (0.000, 0.500, 0.500) x2
Cu (0.500, 0.500, 0.500) x1

Results
The value obtained for the total magnetic moment is 0.88 μB/atom. Its energy relative to the elements is 4.80 eV/f.u.